A crystal of K2AlCr relaxed with PBEsol, computed with meta-GGA SCAN.

Calculated total energy (eV/atom): -10.05
Crystal system: tetragonal

abc: 4.4655 4.4655 5.7736
angles: 90.00 90.00 90.00
Closest atoms and distances in Å follow each position.
Sites, in units of the cell vectors:
K 0.0000 0.5000 0.0000  4 K 3.16
K 0.5000 0.0000 0.0000  4 K 3.16
Al 0.0000 0.0000 0.5000  4 Cr 3.16
Cr 0.5000 0.5000 0.5000  4 Al 3.16